VASP calculation (PBE-GGA) on crystalline TaCd2Re at its relaxed geometry.

Density in Mg/m³: 12.8
Spin magnetization in μB per cell: 0.0
Calculated formation energy in meV per atom: 216
Energy relative to the lowest polymorph listed for this composition in kJ per mole of atoms: 0.3

abc: 3.3203 3.3203 6.9440
angles: 90.00 90.00 90.00
Fractional coordinates of all 4 atoms:
Re  0.0000  0.0000  0.5360
Cd  0.0000  0.0000  0.9941
Cd  0.5000  0.5000  0.2623
Ta  0.5000  0.5000  0.7077